Below is a crystal of Zn2Cu2Ru relaxed with PBEsol, with properties calculated at the meta-GGA SCAN level.

Output
Energy: -18.02 eV/atom
Magnetization: 1.55 μB per formula unit
Space-group type: No. 139

a b c (Å): 3.498 3.498 5.996
angles (deg): 106.96 106.96 90.00
Atoms (fractional coordinates):
Ru (0.000, 0.000, 0.000)
Zn (0.250, 0.750, 0.500)
Zn (0.750, 0.250, 0.500)
Cu (0.400, 0.400, 0.799)
Cu (0.600, 0.600, 0.201)